The following is a DFT calculation (PBE with a Hubbard U) of a geometry-optimized Rb3HoCr2O8 structure.

Its calculated volume is 251 Å³ per cell. The calculation puts the total energy at -6.390 eV/atom.

It has space group P-3m1 (No. 164), with a = 6.0319 Å, b = 6.0319 Å, c = 7.9756 Å, α = 90.00°, β = 90.00° and γ = 120.00°. The inequivalent atoms are Rb at (0.0000, 0.0000, 0.0000), Rb at (0.3333, 0.6667, 0.7002), Ho at (0.0000, 0.0000, 0.5000), Cr at (0.3333, 0.6667, 0.2586), O at (0.1760, 0.3521, 0.3361) and O at (0.3333, 0.6667, 0.0494).